(1)
A plane-wave DFT calculation with GGA-PBE was carried out for crystalline CdMo4PN2 at its relaxed geometry.

It has space group P-6m2 (No. 187), with a = 2.9735 Å, b = 2.9735 Å, c = 13.7781 Å, α = 90.00°, β = 90.00° and γ = 120.00°. The distinct sites, in fractional coordinates, are Cd at (0.0000, 0.0000, 0.0000), Mo at (0.0000, 0.0000, 0.3700), Mo at (0.3333, 0.6667, 0.1778), P at (0.3333, 0.6667, 0.5000) and N at (0.6667, 0.3333, 0.2691).

As for the electronic total energy: -8.3672 eV/atom.



(2)
A plane-wave DFT calculation with GGA-PBE was carried out for crystalline CdMo4PbN2 at its relaxed geometry.

It has space group P-6m2 (No. 187), with a = 3.2353 Å, b = 3.2353 Å, c = 13.4890 Å, α = 90.00°, β = 90.00° and γ = 120.00°. The distinct sites, in fractional coordinates, are Cd at (0.0000, 0.0000, 0.0000), Mo at (0.0000, 0.0000, 0.3234), Mo at (0.3333, 0.6667, 0.1747), Pb at (0.3333, 0.6667, 0.5000) and N at (0.6667, 0.3333, 0.2491).

As for the electronic total energy: -7.9410 eV/atom.



(3)
A plane-wave DFT calculation with GGA-PBE was carried out for crystalline CdSbMo4N2 at its relaxed geometry.

It has space group P-6m2 (No. 187), with a = 3.2356 Å, b = 3.2356 Å, c = 13.1915 Å, α = 90.00°, β = 90.00° and γ = 120.00°. The distinct sites, in fractional coordinates, are Cd at (0.0000, 0.0000, 0.0000), Sb at (0.3333, 0.6667, 0.5000), Mo at (0.0000, 0.0000, 0.3328), Mo at (0.3333, 0.6667, 0.1794) and N at (0.6667, 0.3333, 0.2531).

As for the electronic total energy: -8.0624 eV/atom.



(4)
A plane-wave DFT calculation with GGA-PBE was carried out for crystalline Cd3Mo2W4N3 at its relaxed geometry.

It has space group C2/c (No. 15), with a = 8.657 Å, b = 4.989 Å, c = 15.745 Å, α = 90.00°, β = 100.65° and γ = 90.00°. The distinct sites, in fractional coordinates, are Cd at (0.000, 0.080, 0.250), Cd at (0.166, 0.421, 0.750), Mo at (0.052, 0.416, 0.410), W at (0.114, 0.086, 0.590), W at (0.221, 0.084, 0.910), N at (0.086, 0.243, 0.000) and N at (0.250, 0.250, 0.500).

As for the electronic total energy: -8.2693 eV/atom.



(5)
A plane-wave DFT calculation with GGA-PBE was carried out for crystalline Zr4Cd3Mo2N3 at its relaxed geometry.

It has space group C2/c (No. 15), with a = 9.680 Å, b = 5.607 Å, c = 14.850 Å, α = 90.00°, β = 102.25° and γ = 90.00°. The distinct sites, in fractional coordinates, are Zr at (0.111, 0.087, 0.088), Zr at (0.224, 0.083, 0.412), Cd at (0.000, 0.116, 0.750), Cd at (0.151, 0.434, 0.251), Mo at (0.059, 0.418, 0.930), N at (0.086, 0.242, 0.500) and N at (0.250, 0.250, 0.000).

As for the electronic total energy: -7.6301 eV/atom.



(6)
A plane-wave DFT calculation with GGA-PBE was carried out for crystalline Na2CdMoSe4 at its relaxed geometry.

It has space group C2 (No. 5), with a = 9.572 Å, b = 10.362 Å, c = 6.769 Å, α = 90.00°, β = 134.96° and γ = 90.00°. The distinct sites, in fractional coordinates, are Na at (0.000, 0.000, 0.000), Na at (0.000, 0.249, 0.500), Cd at (0.000, 0.750, 0.500), Mo at (0.000, 0.500, 0.000), Se at (0.206, 0.619, 0.976) and Se at (0.230, 0.380, 0.436).

As for the electronic total energy: -4.1219 eV/atom.



Q: What is the formula in the fourth record?
A: Cd3Mo2W4N3